The following is a meta-GGA SCAN calculation of a PBEsol-optimized structure of MgPd2PtF, from the Alexandria database.

Summary:
energy = -28.812 eV per atom
space group = P4/mmm (123)
crystal system = tetragonal
N(E_F) = 2.6 states/eV per cell
formation energy (no corrections) = 39 meV/atom

Cell and atoms, written as CIF:
```
data_MgPd2PtF
_cell_length_a 4.272
_cell_length_b 4.272
_cell_length_c 4.378
_cell_angle_alpha 90.00
_cell_angle_beta 90.00
_cell_angle_gamma 90.00
_space_group_name_H-M_alt 'P 1'
_space_group_IT_number 1
loop_
_space_group_symop_operation_xyz
'x,y,z'
loop_
_atom_site_label
_atom_site_fract_x
_atom_site_fract_y
_atom_site_fract_z
_atom_site_occupancy
Mg1 0.000 0.000 0.000 1
Pd1 0.000 0.500 0.500 1
Pd2 0.500 0.000 0.500 1
Pt1 0.500 0.500 0.000 1
F1 0.500 0.500 0.500 1
```

---

The following is a meta-GGA SCAN calculation of a PBEsol-optimized structure of MgPt3F, from the Alexandria database.

Summary:
energy = -42.648 eV per atom
space group = Pm-3m (221)
crystal system = cubic
N(E_F) = 3.1 states/eV per cell
formation energy (no corrections) = 1171 meV/atom

Cell and atoms, written as CIF:
```
data_MgPt3F
_cell_length_a 4.587
_cell_length_b 4.587
_cell_length_c 4.587
_cell_angle_alpha 90.00
_cell_angle_beta 90.00
_cell_angle_gamma 90.00
_space_group_name_H-M_alt 'P 1'
_space_group_IT_number 1
loop_
_space_group_symop_operation_xyz
'x,y,z'
loop_
_atom_site_label
_atom_site_fract_x
_atom_site_fract_y
_atom_site_fract_z
_atom_site_occupancy
Mg1 0.000 0.000 0.000 1
Pt1 0.000 0.000 0.500 1
Pt2 0.000 0.500 0.000 1
Pt3 0.500 0.000 0.000 1
F1 0.500 0.500 0.500 1
```

---

The following is a meta-GGA SCAN calculation of a PBEsol-optimized structure of RbMgF3, from the Alexandria database.

Summary:
energy = -10.777 eV per atom
space group = P6_3/mmc (194)
crystal system = hexagonal
energy relative to the lowest polymorph listed for this composition = 7 meV per atom
N(E_F) = 0.0 states/eV per cell
formation energy (no corrections) = -3510 meV/atom

Cell and atoms, written as CIF:
```
data_RbMgF3
_cell_length_a 5.823
_cell_length_b 5.823
_cell_length_c 14.223
_cell_angle_alpha 90.00
_cell_angle_beta 90.00
_cell_angle_gamma 120.00
_space_group_name_H-M_alt 'P 1'
_space_group_IT_number 1
loop_
_space_group_symop_operation_xyz
'x,y,z'
loop_
_atom_site_label
_atom_site_fract_x
_atom_site_fract_y
_atom_site_fract_z
_atom_site_occupancy
Rb1 0.000 0.000 0.250 1
Rb2 0.000 0.000 0.750 1
Rb3 0.333 0.667 0.098 1
Rb4 0.333 0.667 0.402 1
Rb5 0.667 0.333 0.598 1
Rb6 0.667 0.333 0.902 1
Mg1 0.000 0.000 0.000 1
Mg2 0.000 0.000 0.500 1
Mg3 0.333 0.667 0.653 1
Mg4 0.333 0.667 0.847 1
Mg5 0.667 0.333 0.153 1
Mg6 0.667 0.333 0.347 1
F1 0.039 0.519 0.750 1
F2 0.166 0.331 0.580 1
F3 0.166 0.331 0.920 1
F4 0.166 0.834 0.580 1
F5 0.166 0.834 0.920 1
F6 0.331 0.166 0.080 1
F7 0.331 0.166 0.420 1
F8 0.481 0.519 0.750 1
F9 0.481 0.961 0.750 1
F10 0.519 0.039 0.250 1
F11 0.519 0.481 0.250 1
F12 0.669 0.834 0.580 1
F13 0.669 0.834 0.920 1
F14 0.834 0.166 0.080 1
F15 0.834 0.166 0.420 1
F16 0.834 0.669 0.080 1
F17 0.834 0.669 0.420 1
F18 0.961 0.481 0.250 1
```

---

The following is a meta-GGA SCAN calculation of a PBEsol-optimized structure of Rb2MgF4, from the Alexandria database.

Summary:
energy = -12.005 eV per atom
space group = I4/mmm (139)
crystal system = tetragonal
N(E_F) = 0.0 states/eV per cell
formation energy (no corrections) = -3346 meV/atom

Cell and atoms, written as CIF:
```
data_Rb2MgF4
_cell_length_a 7.429
_cell_length_b 7.429
_cell_length_c 7.429
_cell_angle_alpha 148.34
_cell_angle_beta 148.34
_cell_angle_gamma 45.39
_space_group_name_H-M_alt 'P 1'
_space_group_IT_number 1
loop_
_space_group_symop_operation_xyz
'x,y,z'
loop_
_atom_site_label
_atom_site_fract_x
_atom_site_fract_y
_atom_site_fract_z
_atom_site_occupancy
Rb1 0.148 0.148 0.000 1
Rb2 0.852 0.852 0.000 1
Mg1 0.500 0.500 0.000 1
F1 0.000 0.500 0.500 1
F2 0.354 0.354 0.000 1
F3 0.500 0.000 0.500 1
F4 0.646 0.646 0.000 1
```